## LiPrRe2O8 (PBE-GGA)

Data for LiPrRe2O8 after structural relaxation.

Cell lengths 6.8938, 6.8938, 6.8938 Å; angles 134.51, 134.51, 66.29 degrees
Fractional coordinates of all 12 atoms:
Li  0.0000  0.0000  0.0000
Pr  0.2500  0.7500  0.5000
Re  0.5000  0.5000  0.0000
Re  0.7500  0.2500  0.5000
O  0.2640  0.6698  0.0907
O  0.3302  0.4210  0.5942
O  0.4226  0.0156  0.0936
O  0.5790  0.1733  0.9093
O  0.6709  0.5774  0.5929
O  0.8267  0.7360  0.4058
O  0.9220  0.3291  0.9064
O  0.9844  0.0780  0.4071

Formation energy from raw total energies = -1.964 eV/atom
Crystal system = tetragonal